Record 1
Dy2US4: relaxed, PBE-GGA.

Calculated values
Formation energy without anion corrections ... -1787 meV/atom

Cell lengths 6.761, 6.761, 12.955 Å; angles 90.00, 90.00, 147.06 degrees
Element x y z (fractional)
Dy: 0.133 0.867 0.567
Dy: 0.133 0.867 0.933
Dy: 0.867 0.133 0.067
Dy: 0.867 0.133 0.433
U: 0.379 0.621 0.750
U: 0.621 0.379 0.250
S: 0.033 0.967 0.750
S: 0.227 0.773 0.125
S: 0.227 0.773 0.375
S: 0.500 0.500 0.000
S: 0.500 0.500 0.500
S: 0.773 0.227 0.625
S: 0.773 0.227 0.875
S: 0.967 0.033 0.250

Record 2
BeSiNi4: relaxed, PBE-GGA.

Calculated values
Polymorph energy (0 for the lowest one) ... 0.000 eV per formula unit
Formation energy without anion corrections ... -399 meV/atom

Cell lengths 9.320, 2.643, 5.215 Å; angles 90.00, 106.14, 90.00 degrees
Element x y z (fractional)
Be: 0.000 0.000 0.000
Be: 0.500 0.500 0.000
Si: 0.000 0.000 0.500
Si: 0.500 0.500 0.500
Ni: 0.151 0.500 0.833
Ni: 0.152 0.500 0.320
Ni: 0.348 0.000 0.680
Ni: 0.349 0.000 0.167
Ni: 0.651 0.000 0.833
Ni: 0.652 0.000 0.320
Ni: 0.848 0.500 0.680
Ni: 0.849 0.500 0.167

Record 3
PmPrDy6: relaxed, PBE-GGA.

Calculated values
Polymorph energy (0 for the lowest one) ... 0.000 eV per formula unit
Formation energy ... 21 meV/atom

Cell lengths 5.058, 5.058, 10.109 Å; angles 90.00, 90.00, 90.00 degrees
Element x y z (fractional)
Pm: 0.000 0.000 0.000
Pr: 0.000 0.000 0.500
Dy: 0.000 0.500 0.249
Dy: 0.000 0.500 0.751
Dy: 0.500 0.000 0.249
Dy: 0.500 0.000 0.751
Dy: 0.500 0.500 0.000
Dy: 0.500 0.500 0.500

Record 4
AcB2H7: relaxed, PBE-GGA.

Cell lengths 7.437, 7.437, 3.334 Å; angles 90.00, 90.00, 148.77 degrees
Element x y z (fractional)
Ac: 0.000 0.000 0.000
B: 0.388 0.612 0.500
B: 0.612 0.388 0.500
H: 0.091 0.413 0.500
H: 0.401 0.599 0.000
H: 0.413 0.091 0.500
H: 0.500 0.500 0.500
H: 0.587 0.909 0.500
H: 0.599 0.401 0.000
H: 0.909 0.587 0.500

Record 5
TlPdRuBr2: relaxed, PBE-GGA.

Calculated values
Formation energy without anion corrections ... 784 meV/atom

Cell lengths 5.132, 5.132, 5.449 Å; angles 90.00, 90.00, 90.00 degrees
Element x y z (fractional)
Tl: 0.000 0.000 0.000
Pd: 0.000 0.000 0.500
Ru: 0.500 0.500 0.000
Br: 0.000 0.500 0.500
Br: 0.500 0.000 0.500

Record 6
BaNbIr3: relaxed, PBE-GGA.

Calculated values
Polymorph energy (0 for the lowest one) ... 11.281 eV per formula unit
Formation energy ... 2875 meV/atom

Cell lengths 4.971, 4.971, 4.971 Å; angles 90.00, 90.00, 90.00 degrees
Element x y z (fractional)
Ba: 0.000 0.000 0.000
Nb: 0.500 0.500 0.500
Ir: 0.000 0.000 0.500
Ir: 0.000 0.500 0.000
Ir: 0.500 0.000 0.000

Record 7
CoCuHgOsRu: relaxed, PBE-GGA.

Calculated values
Polymorph energy (0 for the lowest one) ... 0.268 eV per formula unit
Formation energy ... 331 meV/atom

Cell lengths 2.754, 2.754, 18.962 Å; angles 90.00, 90.00, 90.00 degrees
Element x y z (fractional)
Co: 0.000 0.000 0.000
Co: 0.500 0.500 0.500
Cu: 0.000 0.000 0.219
Cu: 0.500 0.500 0.719
Hg: 0.000 0.000 0.606
Hg: 0.500 0.500 0.106
Os: 0.000 0.000 0.815
Os: 0.500 0.500 0.315
Ru: 0.000 0.000 0.412
Ru: 0.500 0.500 0.912

Record 8
HfBeTl2: relaxed, PBE-GGA.

Calculated values
Polymorph energy (0 for the lowest one) ... 0.000 eV per formula unit
Formation energy ... 461 meV/atom

Cell lengths 7.535, 7.535, 5.859 Å; angles 90.00, 90.00, 90.00 degrees
Element x y z (fractional)
Hf: 0.000 0.000 0.000
Hf: 0.000 0.500 0.250
Hf: 0.500 0.000 0.750
Hf: 0.500 0.500 0.500
Be: 0.000 0.000 0.500
Be: 0.000 0.500 0.750
Be: 0.500 0.000 0.250
Be: 0.500 0.500 0.000
Tl: 0.196 0.750 0.625
Tl: 0.250 0.196 0.375
Tl: 0.250 0.304 0.875
Tl: 0.304 0.750 0.125
Tl: 0.696 0.250 0.125
Tl: 0.750 0.696 0.875
Tl: 0.750 0.804 0.375
Tl: 0.804 0.250 0.625

Record 9
PmPaRu: relaxed, PBE-GGA.

Calculated values
Polymorph energy (0 for the lowest one) ... 0.000 eV per formula unit
Formation energy ... -286 meV/atom

Cell lengths 3.543, 3.543, 11.273 Å; angles 90.00, 90.00, 90.00 degrees
Element x y z (fractional)
Pm: 0.000 0.000 0.000
Pm: 0.500 0.500 0.500
Pa: 0.000 0.000 0.299
Pa: 0.500 0.500 0.799
Ru: 0.000 0.000 0.699
Ru: 0.500 0.500 0.199

Record 10
CaHg2Pd: relaxed, PBE-GGA.

Calculated values
Formation energy ... -427 meV/atom

Cell lengths 7.050, 7.050, 7.050 Å; angles 90.00, 90.00, 90.00 degrees
Element x y z (fractional)
Ca: 0.000 0.000 0.000
Ca: 0.000 0.500 0.500
Ca: 0.500 0.000 0.500
Ca: 0.500 0.500 0.000
Hg: 0.250 0.250 0.250
Hg: 0.250 0.250 0.750
Hg: 0.250 0.750 0.250
Hg: 0.250 0.750 0.750
Hg: 0.750 0.250 0.250
Hg: 0.750 0.250 0.750
Hg: 0.750 0.750 0.250
Hg: 0.750 0.750 0.750
Pd: 0.000 0.000 0.500
Pd: 0.000 0.500 0.000
Pd: 0.500 0.000 0.000
Pd: 0.500 0.500 0.500

Record 11
MnTlAg2: relaxed, PBE-GGA.

Calculated values
Polymorph energy (0 for the lowest one) ... 0.000 eV per formula unit
Formation energy ... 245 meV/atom

Cell lengths 3.415, 3.415, 6.744 Å; angles 90.00, 90.00, 90.00 degrees
Element x y z (fractional)
Mn: 0.000 0.000 0.000
Tl: 0.000 0.000 0.500
Ag: 0.500 0.500 0.212
Ag: 0.500 0.500 0.788

Record 12
PmNdNiHg: relaxed, PBE-GGA.

Calculated values
Formation energy ... -281 meV/atom

Cell lengths 7.356, 7.356, 7.356 Å; angles 90.00, 90.00, 90.00 degrees
Element x y z (fractional)
Pm: 0.000 0.000 0.000
Pm: 0.000 0.500 0.500
Pm: 0.500 0.000 0.500
Pm: 0.500 0.500 0.000
Nd: 0.000 0.000 0.500
Nd: 0.000 0.500 0.000
Nd: 0.500 0.000 0.000
Nd: 0.500 0.500 0.500
Ni: 0.250 0.250 0.250
Ni: 0.250 0.750 0.750
Ni: 0.750 0.250 0.750
Ni: 0.750 0.750 0.250
Hg: 0.250 0.250 0.750
Hg: 0.250 0.750 0.250
Hg: 0.750 0.250 0.250
Hg: 0.750 0.750 0.750

Record 13
Fe3HW: relaxed, PBE-GGA.

Calculated values
Polymorph energy (0 for the lowest one) ... 1.640 eV per formula unit

Cell lengths 6.310, 6.310, 5.073 Å; angles 94.42, 94.42, 32.82 degrees
Element x y z (fractional)
Fe: 0.094 0.094 0.348
Fe: 0.303 0.303 0.380
Fe: 0.312 0.312 0.878
Fe: 0.688 0.688 0.122
Fe: 0.697 0.697 0.620
Fe: 0.906 0.906 0.652
H: 0.413 0.413 0.638
H: 0.587 0.587 0.362
W: 0.095 0.095 0.843
W: 0.905 0.905 0.157

Record 14
LiTcH2S: relaxed, PBE-GGA.

Cell lengths 3.317, 3.317, 5.769 Å; angles 90.00, 90.00, 90.00 degrees
Element x y z (fractional)
Li: 0.000 0.000 0.000
Tc: 0.000 0.000 0.500
H: 0.000 0.500 0.000
H: 0.500 0.000 0.000
S: 0.500 0.500 0.500

Number 1: calculated total energy -7.073 eV/atom. Number 2: calculated total energy -5.779 eV/atom. Number 3: calculated total energy -4.622 eV/atom. Number 4: calculated total energy -4.076 eV/atom. Number 5: calculated total energy -3.253 eV/atom. Number 6: calculated total energy -4.840 eV/atom. Number 7: calculated total energy -6.071 eV/atom. Number 8: calculated total energy -4.142 eV/atom. Number 9: calculated total energy -8.126 eV/atom. Number 10: calculated total energy -2.377 eV/atom. Number 11: calculated total energy -4.065 eV/atom. Number 12: calculated total energy -4.181 eV/atom. Number 13: calculated total energy -8.003 eV/atom. Number 14: calculated total energy -3.956 eV/atom.